A.
Here is an optimized crystal structure of KBAs from Alexandria. Energies are from PBE.

The magnetization comes out at 0.00 μB/atom.

The space group is Ima2 (No. 46) and the conventional cell measures 9.813, 8.737 and 10.354 Å, with angles of 90.00, 90.00 and 90.00 degrees. The asymmetric unit holds K at (0.250, 0.028, 0.000), K at (0.250, 0.171, 0.331), K at (0.250, 0.694, 0.884), B at (0.000, 0.000, 0.180), B at (0.057, 0.072, 0.674), As at (0.029, 0.710, 0.631) and As at (0.250, 0.507, 0.177).

B.
Here is an optimized crystal structure of KBAs from Alexandria. Energies are from PBE.

The magnetization comes out at 0.00 μB/atom.

The space group is Amm2 (No. 38) and the conventional cell measures 4.939, 4.865 and 14.184 Å, with angles of 90.00, 90.00 and 90.00 degrees. The asymmetric unit holds K at (0.000, 0.000, 0.000), K at (0.500, 0.000, 0.252), B at (0.336, 0.000, 0.618), As at (0.000, 0.000, 0.696) and As at (0.500, 0.000, 0.487).

Energies relative to the most stable structure, in eV/atom: A 0.290; B 0.000.

A.
Here is an optimized crystal structure of KBAs from Alexandria. Energies are from PBE.

The magnetization comes out at 0.00 μB/atom.

The space group is Immm (No. 71) and the conventional cell measures 3.412, 8.497 and 9.601 Å, with angles of 90.00, 90.00 and 90.00 degrees. The asymmetric unit holds K at (0.000, 0.000, 0.205), B at (0.000, 0.400, 0.000) and As at (0.000, 0.230, 0.500).

B.
Here is an optimized crystal structure of KBAs from Alexandria. Energies are from PBE.

The magnetization comes out at 0.00 μB/atom.

The space group is Amm2 (No. 38) and the conventional cell measures 3.398, 5.288 and 17.291 Å, with angles of 90.00, 90.00 and 90.00 degrees. The asymmetric unit holds K at (0.000, 0.000, 0.000), K at (0.500, 0.000, 0.225), B at (0.500, 0.000, 0.457), B at (0.500, 0.000, 0.556), As at (0.000, 0.000, 0.392) and As at (0.000, 0.000, 0.623).

Energies relative to the most stable structure, in eV/atom: A 0.000; B 0.055.

A.
Here is an optimized crystal structure of KBAs3 from Alexandria. Energies are from PBE.

The magnetization comes out at 0.00 μB/atom.

The space group is Pm-3m (No. 221) and the conventional cell measures 4.676, 4.676 and 4.676 Å, with angles of 90.00, 90.00 and 90.00 degrees. The asymmetric unit holds K at (0.000, 0.000, 0.000), B at (0.500, 0.500, 0.500) and As at (0.000, 0.500, 0.500).

B.
Here is an optimized crystal structure of KBAs3 from Alexandria. Energies are from PBE.

The magnetization comes out at 0.00 μB/atom.

The space group is Pm-3m (No. 221) and the conventional cell measures 5.472, 5.472 and 5.472 Å, with angles of 90.00, 90.00 and 90.00 degrees. The asymmetric unit holds K at (0.000, 0.000, 0.000), B at (0.500, 0.500, 0.500) and As at (0.000, 0.000, 0.500).

Energies relative to the most stable structure, in eV/atom: A 0.000; B 1.837.

A.
Here is an optimized crystal structure of K2BAs from Alexandria. Energies are from PBE.

The magnetization comes out at 0.00 μB/atom.

The space group is Fm-3m (No. 225) and the conventional cell measures 7.633, 7.633 and 7.633 Å, with angles of 90.00, 90.00 and 90.00 degrees. The asymmetric unit holds K at (0.250, 0.250, 0.250), B at (0.000, 0.000, 0.000) and As at (0.000, 0.000, 0.500).

B.
Here is an optimized crystal structure of K2BAs from Alexandria. Energies are from PBE.

The magnetization comes out at 0.20 μB/atom.

The space group is I-42d (No. 122) and the conventional cell measures 4.508, 4.508 and 21.472 Å, with angles of 90.00, 90.00 and 90.00 degrees. The asymmetric unit holds K at (0.231, 0.250, 0.125), B at (0.000, 0.000, 0.000) and As at (0.000, 0.000, 0.500).

Energies relative to the most stable structure, in eV/atom: A 0.000; B 0.224.